TmNpPa2N4 | PBE | relaxed

- Density of states at the Fermi level: 8.54 states/eV/cell
- Formation energy (no corrections): -1526 meV per atom
- Magnetization: 3.45 μB per formula unit
- Calculated density: 13.04 Mg/m³

The structure in POSCAR format:
```
TmNpPa2N4
1.0
-3.3789 0.6792 0.2525
-0.7756 -5.0412 3.1804
1.1921 4.5410 3.7387
Tm Np Pa N
1 1 2 4
Direct
0.0000 0.0000 0.0000 Tm
0.5000 0.5000 0.0000 Np
0.5000 0.0000 0.5000 Pa
0.0000 0.5000 0.5000 Pa
0.5000 0.2464 0.2483 N
0.5000 0.7536 0.7517 N
0.0000 0.2453 0.7518 N
0.0000 0.7547 0.2482 N
```